First-principles (PBE with a Hubbard U) data for a relaxed structure of CaMnBi2O6, as listed in Alexandria via LeMat-Bulk.

abc: 5.769 5.769 5.874
angles: 60.58 60.59 59.99
Last column: magnetic moment on the atom in μB.
Positions (direct):
Ca  0.807  0.807  0.578  0.00
Mn  0.321  0.321  0.038  3.18
Bi  0.531  0.531  0.407  0.03
Bi  0.027  0.027  0.918  0.02
O  0.577  0.177  0.245  -0.04
O  0.177  0.001  0.245  -0.04
O  0.001  0.577  0.245  -0.04
O  0.448  0.644  0.780  -0.06
O  0.644  0.128  0.780  -0.06
O  0.128  0.448  0.780  -0.06

## Properties
Energy (eV/atom): -6.3167
Density (kg/m³): 7252
Symmetry: R3, No. 146
Spin magnetization (μB per cell): 2.96